1.
Material: Li2Zn2Co
Method: DFT, GGA-PBE
State: relaxed

Unit cell a=7.0086 b=7.0086 c=2.6346 alpha=90.00 beta=90.00 gamma=90.00
Each line ends with the local moment (μB).
Fractional positions:
Zn  0.1699  0.6699  0.5000  -0.03
Zn  0.6699  0.8301  0.5000  -0.03
Zn  0.8301  0.3301  0.5000  -0.03
Zn  0.3301  0.1699  0.5000  -0.03
Co  0.0000  0.0000  0.0000  1.43
Co  0.5000  0.5000  0.0000  1.43
Li  0.3705  0.8705  0.0000  -0.02
Li  0.8705  0.6295  0.0000  -0.02
Li  0.6295  0.1295  0.0000  -0.02
Li  0.1295  0.3705  0.0000  -0.02

## Properties
As for the energy of formation from the pure elements: 133 meV per atom. The total energy is -2.56 eV per atom.

---

2.
Material: LiZn4Co
Method: DFT, GGA-PBE
State: relaxed

Unit cell a=4.9530 b=4.9530 c=4.9530 alpha=60.00 beta=60.00 gamma=60.00
Each line ends with the local moment (μB).
Fractional positions:
Li  0.0000  0.0000  0.0000  -0.01
Zn  0.8734  0.3755  0.3755  -0.01
Zn  0.3755  0.3755  0.8734  -0.01
Zn  0.3755  0.8734  0.3755  -0.01
Zn  0.3755  0.3755  0.3755  -0.01
Co  0.7500  0.7500  0.7500  1.20

## Properties
As for the energy of formation from the pure elements: 66 meV per atom. The total energy is -2.29 eV per atom.

---

3.
Material: LiZn4Co2
Method: DFT, GGA-PBE
State: relaxed

Unit cell a=4.9874 b=4.9874 c=4.9874 alpha=114.11 beta=107.20 gamma=107.20
Fractional positions:
Li  0.0000  0.0000  0.0000
Zn  0.5000  0.0000  0.0000
Zn  0.5000  0.5000  0.5000
Zn  0.0000  0.0000  0.5000
Zn  0.0000  0.5000  0.0000
Co  0.5000  0.5000  0.0000
Co  0.5000  0.0000  0.5000

## Properties
As for the energy of formation from the pure elements: -71 meV per atom. The total energy is -3.10 eV per atom.

---

4.
Material: LiZn2Co
Method: DFT, GGA-PBE
State: relaxed

Unit cell a=3.0944 b=3.0944 c=5.4663 alpha=90.00 beta=90.00 gamma=90.00
Each line ends with the local moment (μB).
Fractional positions:
Co  0.0000  0.0000  0.4967  1.17
Li  0.5000  0.5000  0.7379  -0.02
Zn  0.0000  0.0000  0.9878  0.00
Zn  0.5000  0.5000  0.2776  -0.02

## Properties
As for the energy of formation from the pure elements: 69 meV per atom. The total energy is -2.82 eV per atom.